# Pa2BeNiN5 (PBE, relaxed)
data_Pa2BeNiN5
_symmetry_space_group_name_H-M 'C m c 21'
_symmetry_Int_Tables_number 36
_symmetry_space_group_name_Hall 'C 2c -2'
_cell_length_a 3.274
_cell_length_b 13.346
_cell_length_c 9.031
_cell_angle_alpha 90.00
_cell_angle_beta 90.00
_cell_angle_gamma 90.00
loop_
_atom_site_label
_atom_site_fract_x
_atom_site_fract_y
_atom_site_fract_z
_atom_site_occupancy
Pa1 0.000 0.125 0.000 1
Pa2 0.000 0.127 0.405 1
Be1 0.000 0.450 0.160 1
Ni1 0.000 0.212 0.709 1
N1 0.000 0.064 0.715 1
N2 0.000 0.296 0.360 1
N3 0.000 0.298 0.057 1
N4 0.000 0.362 0.712 1
N5 0.000 0.499 0.977 1
# Raw formation energy   -0.903 eV/atom
# Final energy   -8.69 eV per atom